[1]
An optimized crystal structure of KTa2ReAs. Source: Alexandria, functional PBE-GGA.

a b c (Å): 4.7983 4.7983 5.2551
angles (deg): 90.00 90.00 90.00
Element x y z (fractional)
K  0.0000  0.0000  0.0000
Ta  0.0000  0.5000  0.5000
Ta  0.5000  0.0000  0.5000
Re  0.5000  0.5000  0.0000
As  0.0000  0.0000  0.5000

Its crystal system is tetragonal. As for the total energy: -6.561 eV per atom. As for the density of states at the Fermi level: 5.87 states/eV per cell.

[2]
An optimized crystal structure of KAs2Rh. Source: Alexandria, functional PBE-GGA.

a b c (Å): 5.8210 8.7382 3.0472
angles (deg): 90.00 90.20 90.00
Element x y z (fractional)
K  0.0000  0.0000  0.0000
K  0.5000  0.5000  0.0000
As  0.2500  0.2500  0.5000
As  0.2500  0.7500  0.5000
As  0.7500  0.2500  0.5000
As  0.7500  0.7500  0.5000
Rh  0.0000  0.5000  0.0000
Rh  0.5000  0.0000  0.0000

Its crystal system is monoclinic. For the energy relative to the lowest polymorph listed for this composition, the calculation gives 727 meV/atom. As for the density of states at the Fermi level: 4.14 states/eV per cell.

[3]
An optimized crystal structure of KAsRh3. Source: Alexandria, functional PBE-GGA.

a b c (Å): 4.6818 4.6818 4.6818
angles (deg): 90.00 90.00 90.00
Element x y z (fractional)
K  0.0000  0.0000  0.0000
As  0.5000  0.5000  0.5000
Rh  0.0000  0.5000  0.5000
Rh  0.5000  0.0000  0.5000
Rh  0.5000  0.5000  0.0000

Its crystal system is cubic. For the energy relative to the lowest polymorph listed for this composition, the calculation gives 0 meV/atom. As for the density of states at the Fermi level: 5.04 states/eV per cell.

[4]
An optimized crystal structure of KAs2Rh. Source: Alexandria, functional PBE-GGA.

a b c (Å): 2.9848 6.0040 10.0607
angles (deg): 90.00 90.00 90.00
Element x y z (fractional)
K  0.0000  0.0000  0.0000
K  0.5000  0.5000  0.5000
As  0.0000  0.5000  0.1948
As  0.0000  0.5000  0.8052
As  0.5000  0.0000  0.3052
As  0.5000  0.0000  0.6948
Rh  0.0000  0.0000  0.5000
Rh  0.5000  0.5000  0.0000

Its crystal system is orthorhombic. For the energy relative to the lowest polymorph listed for this composition, the calculation gives 247 meV/atom. As for the density of states at the Fermi level: 3.23 states/eV per cell.

[5]
An optimized crystal structure of KAs2Rh. Source: Alexandria, functional PBE-GGA.

a b c (Å): 3.6509 3.7799 13.7467
angles (deg): 90.00 90.00 90.00
Element x y z (fractional)
K  0.0000  0.0000  0.0000
K  0.5000  0.5000  0.5000
As  0.0000  0.0000  0.3523
As  0.0000  0.5000  0.7093
As  0.5000  0.0000  0.2093
As  0.5000  0.5000  0.8523
Rh  0.0000  0.5000  0.2394
Rh  0.5000  0.0000  0.7394

Its crystal system is orthorhombic. For the energy relative to the lowest polymorph listed for this composition, the calculation gives 220 meV/atom. As for the density of states at the Fermi level: 4.14 states/eV per cell.

[6]
An optimized crystal structure of KAs2Rh. Source: Alexandria, functional PBE-GGA.

a b c (Å): 4.2502 4.2502 8.8036
angles (deg): 90.00 90.00 90.00
Element x y z (fractional)
K  0.0000  0.0000  0.0000
K  0.5000  0.5000  0.5000
As  0.0000  0.0000  0.5000
As  0.0000  0.5000  0.2500
As  0.5000  0.0000  0.7500
As  0.5000  0.5000  0.0000
Rh  0.0000  0.5000  0.7500
Rh  0.5000  0.0000  0.2500

Its crystal system is tetragonal. For the energy relative to the lowest polymorph listed for this composition, the calculation gives 823 meV/atom. As for the density of states at the Fermi level: 6.75 states/eV per cell.